VASP calculation (PBE-GGA) on an optimized crystal structure of Ac2Sn.

Cell: 6.2494 6.2494 7.0800 Å, 103.11 103.11 118.97°
Closest atoms and distances in Å follow each position.
Fractional positions:
Ac: 0.7001 0.3002 0.2498  5 Sn 3.50-3.69, 5 Ac 3.56-3.77
Ac: 0.9497 0.0497 0.7499  5 Sn 3.50-3.69, 5 Ac 3.56-3.77
Sn: 0.3751 0.6249 0.2500  10 Ac 3.50-3.69
Sn: 0.6249 0.3751 0.7500  10 Ac 3.50-3.69
Ac: 0.2999 0.6998 0.7502  5 Sn 3.50-3.69, 5 Ac 3.56-3.77
Ac: 0.0503 0.9503 0.2501  5 Sn 3.50-3.69, 5 Ac 3.56-3.77

Output
Space-group type = Fddd (70)
Calculated volume = 36.070 Å³ per atom
Excess energy over the best structure of this formula in the dataset = 69 meV per atom
VASP energy = -4.5153 eV per atom
Crystal system = orthorhombic
E_form = -1.33 eV/f.u.

***

VASP calculation (PBE-GGA) on an optimized crystal structure of RePW.

Cell: 4.1558 4.1558 2.9058 Å, 90.00 90.00 120.00°
Closest atoms and distances in Å follow each position.
Fractional positions:
Re: 0.3333 0.6667 0.0000  3 P 2.40
W: 0.6667 0.3333 0.5000  6 P 2.80, 6 Re 2.80, 2 W 2.91
P: 0.0000 0.0000 0.0000  3 Re 2.40

Output
Space-group type = P-6m2 (187)
Calculated volume = 14.487 Å³ per atom
Excess energy over the best structure of this formula in the dataset = 32 meV per atom
VASP energy = -10.3360 eV per atom
Crystal system = hexagonal
E_form = -0.20 eV/f.u.

***

VASP calculation (PBE-GGA) on an optimized crystal structure of MnFePb2.

Cell: 3.7446 3.3944 6.9693 Å, 70.70 90.00 90.00°
Closest atoms and distances in Å follow each position.
Fractional positions:
Pb: 0.0000 0.9907 0.0072  4 Fe 2.85-3.14, 2 Mn 2.89
Mn: 0.5000 0.7500 0.7500  8 Pb 2.89-3.21
Pb: 0.0000 0.5093 0.4928  4 Fe 2.85-3.14, 2 Mn 2.89
Fe: 0.5000 0.2500 0.2500  8 Pb 2.85-3.14

Output
Space-group type = P2/m (10)
Calculated volume = 20.902 Å³ per atom
Excess energy over the best structure of this formula in the dataset = 235 meV per atom
VASP energy = -5.6734 eV per atom
Crystal system = monoclinic
E_form = 2.36 eV/f.u.

***

VASP calculation (PBE-GGA) on an optimized crystal structure of SiPt2Rh.

Cell: 4.6478 4.6478 4.6478 Å, 129.46 129.46 74.27°
Closest atoms and distances in Å follow each position.
Fractional positions:
Pt: 0.0000 0.0000 0.0000  4 Pt 2.71, 4 Si 2.71, 4 Rh 2.81
Pt: 0.2500 0.7500 0.5000  4 Rh 2.71, 4 Pt 2.71, 4 Si 2.81
Si: 0.7500 0.2500 0.5000  4 Rh 2.71, 8 Pt 2.71-2.81
Rh: 0.5000 0.5000 0.0000  4 Si 2.71, 8 Pt 2.71-2.81

Output
Formation energy (no corrections) = -1.05 eV per formula unit
Space-group type = I-4m2 (119)
Calculated volume = 14.586 Å³ per atom
VASP energy = -6.4776 eV per atom
Crystal system = tetragonal

***

Number 1: N(E_F) 5.0 states/eV per cell, total magnetic moment 0.000 μB/f.u.. Number 2: N(E_F) 1.1 states/eV per cell, total magnetic moment 0.000 μB/f.u.. Number 3: N(E_F) 3.2 states/eV per cell, total magnetic moment 6.459 μB/f.u.. Number 4: N(E_F) 4.7 states/eV per cell, total magnetic moment 0.000 μB/f.u..